WAuSe2N after structural relaxation, computed with PBE.

Output
The calculation puts the energy above the most stable polymorph in this dataset at 1297 meV per atom. The value obtained for the uncorrected energy is -4.612 eV per atom. For the energy relative to the elements, uncorrected, the calculation gives 1693 meV per atom.

Unit cell a=5.2399 b=5.2399 c=3.7175 alpha=90.00 beta=90.00 gamma=90.00
With the nearest neighbours (Å) after each atom.
Space group P4/mmm (No. 123)
Asymmetric unit:
W 0.0000 0.0000 0.0000 x1  8 Se 3.21
Au 0.5000 0.5000 0.5000 x1  2 N 1.86
Se 0.0000 0.5000 0.5000 x2  2 Au 2.62
N 0.5000 0.5000 0.0000 x1  2 Au 1.86